# 1
DFT (PBE) results for a relaxed PrNd3Sc2Te6 crystal.

- electronic total energy (eV/atom) = -5.520
- theoretical density (g cm⁻³) = 6.57
- total moment (μB/atom) = 0.000
- symmetry = C2/m (12)

a b c (Å): 9.840 9.840 8.868
angles (deg): 103.10 103.10 25.62
Atoms (fractional coordinates):
Pr1 0.000 0.000 0.000
Nd1 0.000 0.000 0.500
Nd2 0.343 0.343 0.169
Nd3 0.657 0.657 0.831
Sc1 0.335 0.335 0.669
Sc2 0.665 0.665 0.331
Te1 0.172 0.172 0.103
Te2 0.173 0.173 0.570
Te3 0.489 0.489 0.743
Te4 0.511 0.511 0.257
Te5 0.827 0.827 0.430
Te6 0.828 0.828 0.897


# 2
DFT (PBE) results for a relaxed ScAsPd2Br crystal.

- electronic total energy (eV/atom) = -4.859
- theoretical density (g cm⁻³) = 5.91
- total moment (μB/atom) = 0.000
- symmetry = P4/mmm (123)

a b c (Å): 4.706 4.706 5.236
angles (deg): 90.00 90.00 90.00
Atoms (fractional coordinates):
Sc1 0.000 0.000 0.000
As1 0.000 0.000 0.500
Pd1 0.000 0.500 0.500
Pd2 0.500 0.000 0.500
Br1 0.500 0.500 0.000


# 3
DFT (PBE) results for a relaxed AcIn5Ir2 crystal.

- theoretical density (g cm⁻³) = 10.43
- total moment (μB/atom) = 0.000
- symmetry = Immm (71)
- ΔE_f (eV per atom) = -0.3397

a b c (Å): 4.306 8.249 10.632
angles (deg): 90.00 90.00 90.00
Atoms (fractional coordinates):
Ac1 0.000 0.000 0.000
Ac2 0.500 0.500 0.500
In1 0.000 0.193 0.345
In2 0.000 0.193 0.655
In3 0.000 0.500 0.000
In4 0.000 0.807 0.345
In5 0.000 0.807 0.655
In6 0.500 0.000 0.500
In7 0.500 0.307 0.155
In8 0.500 0.307 0.845
In9 0.500 0.693 0.155
In10 0.500 0.693 0.845
Ir1 0.000 0.500 0.251
Ir2 0.000 0.500 0.749
Ir3 0.500 0.000 0.249
Ir4 0.500 0.000 0.751


# 4
DFT (PBE) results for a relaxed Ag2SeO2 crystal.

- theoretical density (g cm⁻³) = 6.57
- total moment (μB/atom) = 0.000
- symmetry = Cmc2_1 (36)
- distance to the lowest polymorph of the same formula (meV/atom) = 0.0

a b c (Å): 13.683 13.683 4.161
angles (deg): 90.00 90.00 167.76
Atoms (fractional coordinates):
Ag1 0.033 0.967 0.500
Ag2 0.223 0.777 0.356
Ag3 0.777 0.223 0.856
Ag4 0.967 0.033 0.000
Se1 0.381 0.619 0.370
Se2 0.619 0.381 0.870
O1 0.171 0.829 0.871
O2 0.395 0.605 0.763
O3 0.605 0.395 0.263
O4 0.829 0.171 0.371


# 5
DFT (PBE) results for a relaxed NaSeBr2 crystal.

- theoretical density (g cm⁻³) = 3.23
- total moment (μB/atom) = 0.250
- symmetry = R-3m (166)
- distance to the lowest polymorph of the same formula (meV/atom) = 0.0

a b c (Å): 4.317 4.317 25.003
angles (deg): 90.00 90.00 120.00
Atoms (fractional coordinates):
Na1 0.000 0.000 0.000
Na2 0.333 0.667 0.667
Na3 0.667 0.333 0.333
Se1 0.000 0.000 0.500
Se2 0.333 0.667 0.167
Se3 0.667 0.333 0.833
Br1 0.000 0.000 0.397
Br2 0.000 0.000 0.603
Br3 0.333 0.667 0.064
Br4 0.333 0.667 0.269
Br5 0.667 0.333 0.731
Br6 0.667 0.333 0.936


# 6
DFT (PBE) results for a relaxed Zr2HgSe2 crystal.

- theoretical density (g cm⁻³) = 7.20
- total moment (μB/atom) = 0.000
- symmetry = I4/mmm (139)
- distance to the lowest polymorph of the same formula (meV/atom) = 136.5

a b c (Å): 4.737 4.737 11.114
angles (deg): 90.00 90.00 90.00
Atoms (fractional coordinates):
Zr1 0.000 0.500 0.250
Zr2 0.000 0.500 0.750
Zr3 0.500 0.000 0.250
Zr4 0.500 0.000 0.750
Hg1 0.000 0.000 0.000
Hg2 0.500 0.500 0.500
Se1 0.000 0.000 0.360
Se2 0.000 0.000 0.640
Se3 0.500 0.500 0.140
Se4 0.500 0.500 0.860


# 7
DFT (PBE) results for a relaxed ZrZnSb3 crystal.

- theoretical density (g cm⁻³) = 6.37
- total moment (μB/atom) = 0.000
- symmetry = Pm-3m (221)
- distance to the lowest polymorph of the same formula (meV/atom) = 270.2

a b c (Å): 5.142 5.142 5.142
angles (deg): 90.00 90.00 90.00
Atoms (fractional coordinates):
Zr1 0.000 0.000 0.000
Zn1 0.500 0.500 0.500
Sb1 0.000 0.500 0.500
Sb2 0.500 0.000 0.500
Sb3 0.500 0.500 0.000


# 8
DFT (PBE) results for a relaxed Y2MnZn crystal.

- theoretical density (g cm⁻³) = 5.51
- total moment (μB/atom) = 0.588
- symmetry = I-4m2 (119)
- ΔE_f (eV per atom) = 0.1014

a b c (Å): 4.323 4.323 9.609
angles (deg): 90.00 90.00 90.00
Atoms (fractional coordinates):
Y1 0.000 0.000 0.000
Y2 0.000 0.500 0.250
Y3 0.500 0.000 0.750
Y4 0.500 0.500 0.500
Mn1 0.000 0.000 0.500
Mn2 0.500 0.500 0.000
Zn1 0.000 0.500 0.750
Zn2 0.500 0.000 0.250


# 9
DFT (PBE) results for a relaxed Mn2PN crystal.

- theoretical density (g cm⁻³) = 6.63
- total moment (μB/atom) = 0.354
- symmetry = Fm-3m (225)
- distance to the lowest polymorph of the same formula (meV/atom) = 513.6

a b c (Å): 5.374 5.374 5.374
angles (deg): 90.00 90.00 90.00
Atoms (fractional coordinates):
Mn1 0.250 0.250 0.250
Mn2 0.250 0.250 0.750
Mn3 0.250 0.750 0.250
Mn4 0.250 0.750 0.750
Mn5 0.750 0.250 0.250
Mn6 0.750 0.250 0.750
Mn7 0.750 0.750 0.250
Mn8 0.750 0.750 0.750
P1 0.000 0.000 0.000
P2 0.000 0.500 0.500
P3 0.500 0.000 0.500
P4 0.500 0.500 0.000
N1 0.000 0.000 0.500
N2 0.000 0.500 0.000
N3 0.500 0.000 0.000
N4 0.500 0.500 0.500